Record 1
Here is Ac2HgPb2 after structural relaxation from OQMD. Energies are from GGA-PBE.

As for the total DFT energy (no corrections): -3.686 eV per atom. The spin magnetization is 0.000 μB/atom.

Cell lengths 6.831, 6.831, 11.880 Å; angles 115.35, 115.35, 43.99 degrees
Element x y z (fractional)
Pb: 0.498 0.498 0.866
Ac: 0.068 0.068 0.359
Hg: 0.216 0.216 0.744
Pb: 0.502 0.502 0.134
Pb: 0.362 0.362 0.424
Ac: 0.177 0.177 0.067
Hg: 0.784 0.784 0.256
Ac: 0.823 0.823 0.933
Pb: 0.638 0.638 0.576
Ac: 0.932 0.932 0.641

=====

Record 2
Here is GdSi2Ge2 after structural relaxation from OQMD. Energies are from GGA-PBE.

As for the total DFT energy (no corrections): -5.006 eV per atom. The spin magnetization is 0.003 μB/atom. Its energy above the most stable polymorph in this dataset is 104 meV per atom.

Cell lengths 4.785, 4.785, 8.533 Å; angles 90.00, 90.00, 90.00 degrees
Element x y z (fractional)
Si: 0.500 0.000 0.099
Gd: 0.500 0.000 0.746
Ge: 0.500 0.500 0.000
Ge: 0.500 0.000 0.391
Si: 0.000 0.000 0.500
Ge: 0.000 0.500 0.609
Si: 0.500 0.500 0.500
Ge: 0.000 0.000 0.000
Gd: 0.000 0.500 0.254
Si: 0.000 0.500 0.901

=====

Record 3
Here is Nb3TlPb5 after structural relaxation from OQMD. Energies are from GGA-PBE.

As for the total DFT energy (no corrections): -5.438 eV per atom. The spin magnetization is 0.001 μB/atom.

Cell lengths 5.737, 5.737, 8.788 Å; angles 90.00, 90.00, 120.00 degrees
Element x y z (fractional)
Nb: 0.500 0.000 0.500
Pb: 0.000 0.000 0.500
Pb: 0.667 0.333 0.797
Nb: 0.000 0.500 0.500
Pb: 0.667 0.333 0.203
Nb: 0.500 0.500 0.500
Tl: 0.000 0.000 0.000
Pb: 0.333 0.667 0.797
Pb: 0.333 0.667 0.203

=====

Record 4
Here is BPtPb after structural relaxation from OQMD. Energies are from GGA-PBE.

As for the total DFT energy (no corrections): -4.663 eV per atom. The spin magnetization is 0.000 μB/atom. Its energy above the most stable polymorph in this dataset is 0 meV per atom.

Cell lengths 4.334, 4.334, 4.334 Å; angles 60.00, 60.00, 60.00 degrees
Element x y z (fractional)
Pt: 0.000 0.000 0.000
Pb: 0.750 0.750 0.750
B: 0.250 0.250 0.250